Entry 1:
Compound: VHgRh3
Source: Alexandria via LeMat-Bulk
Functional: GGA-PBE
Structure: relaxed

Values from the calculation:
spin magnetization = 0.82 μB per formula unit
distance to the lowest polymorph of the same formula = 6.15 eV per formula unit

abc: 4.8989 4.8989 4.8989
angles: 90.00 90.00 90.00
Space group Pm-3m (No. 221)
Unique sites:
V 0.0000 0.0000 0.0000 [1 per cell]
Hg 0.5000 0.5000 0.5000 [1 per cell]
Rh 0.0000 0.5000 0.5000 [3 per cell]



Entry 2:
Compound: LiZn17In
Source: Alexandria via LeMat-Bulk
Functional: GGA-PBE
Structure: relaxed

Values from the calculation:
spin magnetization = 0.00 μB per formula unit
raw total energy = -78.36 eV for the cell shown

abc: 9.0872 9.0872 13.1011
angles: 90.00 90.00 120.00
Space group R3m (No. 160, hexagonal axes)
Unique sites:
Li 0.0000 0.0000 0.0000 [3 per cell]
Zn 0.0000 0.0000 0.2322 [3 per cell]
Zn 0.0000 0.0000 0.4390 [3 per cell]
Zn 0.0060 0.5030 0.4856 [9 per cell]
Zn 0.0066 0.5033 0.8303 [9 per cell]
Zn 0.0305 0.3623 0.9984 [18 per cell]
Zn 0.1688 0.3377 0.5145 [9 per cell]
In 0.0000 0.0000 0.6822 [3 per cell]



Entry 3:
Compound: Ac2NiCl
Source: Alexandria via LeMat-Bulk
Functional: GGA-PBE
Structure: relaxed

Values from the calculation:
energy relative to the elements, uncorrected = -920 meV per atom
spin magnetization = 0.00 μB per formula unit
distance to the lowest polymorph of the same formula = 0.08 eV per formula unit

abc: 4.2817 4.2817 24.1170
angles: 90.00 90.00 120.00
Space group R3m (No. 160, hexagonal axes)
Unique sites:
Ac 0.0000 0.0000 0.0000 [3 per cell]
Ac 0.0000 0.0000 0.2018 [3 per cell]
Ni 0.0000 0.0000 0.6012 [3 per cell]
Cl 0.0000 0.0000 0.4317 [3 per cell]



Entry 4:
Compound: Lu2MgBi
Source: Alexandria via LeMat-Bulk
Functional: GGA-PBE
Structure: relaxed

Values from the calculation:
spin magnetization = 0.00 μB per formula unit
distance to the lowest polymorph of the same formula = 0.17 eV per formula unit

abc: 5.0426 5.0426 4.1958
angles: 90.00 90.00 90.00
Space group P4/mmm (No. 123)
Unique sites:
Lu 0.0000 0.5000 0.0000 [2 per cell]
Mg 0.0000 0.0000 0.5000 [1 per cell]
Bi 0.5000 0.5000 0.5000 [1 per cell]



Entry 5:
Compound: Zr2TaCl
Source: Alexandria via LeMat-Bulk
Functional: GGA-PBE
Structure: relaxed

Values from the calculation:
energy relative to the elements, uncorrected = 336 meV per atom
spin magnetization = 0.00 μB per formula unit
distance to the lowest polymorph of the same formula = 3.00 eV per formula unit

abc: 3.9224 3.9224 10.4924
angles: 90.00 90.00 90.00
Space group I-4m2 (No. 119)
Unique sites:
Zr 0.0000 0.0000 0.0000 [2 per cell]
Zr 0.0000 0.5000 0.2500 [2 per cell]
Ta 0.0000 0.0000 0.5000 [2 per cell]
Cl 0.0000 0.5000 0.7500 [2 per cell]



Entry 6:
Compound: CeY3Er4
Source: Alexandria via LeMat-Bulk
Functional: GGA-PBE
Structure: relaxed

Values from the calculation:
spin magnetization = 0.01 μB per formula unit
distance to the lowest polymorph of the same formula = 1.88 eV per formula unit

abc: 11.6181 13.0522 3.3369
angles: 90.00 90.00 90.00
Space group Cmmm (No. 65)
Unique sites:
Ce 0.0000 0.0000 0.0000 [2 per cell]
Y 0.0000 0.5000 0.0000 [2 per cell]
Y 0.2500 0.2500 0.5000 [4 per cell]
Er 0.0000 0.2372 0.0000 [4 per cell]
Er 0.2314 0.0000 0.5000 [4 per cell]



Entry 7:
Compound: Sm4Ho10Er
Source: Alexandria via LeMat-Bulk
Functional: GGA-PBE
Structure: relaxed

Values from the calculation:
spin magnetization = 0.00 μB per formula unit
raw total energy = -115.99 eV for the cell shown

abc: 12.1536 12.1536 7.6798
angles: 90.00 90.00 90.00
Space group I4/m (No. 87)
Unique sites:
Sm 0.1008 0.2989 0.0000 [8 per cell]
Ho 0.0000 0.5000 0.2500 [4 per cell]
Ho 0.0987 0.8010 0.2518 [16 per cell]
Er 0.0000 0.0000 0.5000 [2 per cell]



Entry 8:
Compound: AsRu2W
Source: Alexandria via LeMat-Bulk
Functional: GGA-PBE
Structure: relaxed

Values from the calculation:
spin magnetization = 0.00 μB per formula unit
raw total energy = -35.88 eV for the cell shown

abc: 2.8385 4.0798 5.2761
angles: 90.00 104.16 90.00
Space group P2/m (No. 10)
Unique sites:
As 0.0000 0.0000 0.0000 [1 per cell]
Ru 0.3702 0.5000 0.2412 [2 per cell]
W 0.0000 0.0000 0.5000 [1 per cell]



Entry 9:
Compound: Fe3PbW
Source: Alexandria via LeMat-Bulk
Functional: GGA-PBE
Structure: relaxed

Values from the calculation:
spin magnetization = 5.55 μB per formula unit
distance to the lowest polymorph of the same formula = 0.00 eV per formula unit

abc: 4.6038 4.6038 4.6038
angles: 90.00 90.00 90.00
Space group Pm-3m (No. 221)
Unique sites:
Fe 0.0000 0.0000 0.5000 [3 per cell]
Pb 0.5000 0.5000 0.5000 [1 per cell]
W 0.0000 0.0000 0.0000 [1 per cell]



Entry 10:
Compound: Pr2NiHg
Source: Alexandria via LeMat-Bulk
Functional: GGA-PBE
Structure: relaxed

Values from the calculation:
spin magnetization = 0.00 μB per formula unit
distance to the lowest polymorph of the same formula = 0.21 eV per formula unit

abc: 4.0321 4.0321 24.1303
angles: 90.00 90.00 120.00
Space group R-3m (No. 166, hexagonal axes)
Unique sites:
Pr 0.0000 0.0000 0.2340 [6 per cell]
Ni 0.0000 0.0000 0.5000 [3 per cell]
Hg 0.0000 0.0000 0.0000 [3 per cell]



Entry 11:
Compound: MgSc2BiH
Source: Alexandria via LeMat-Bulk
Functional: GGA-PBE
Structure: relaxed

Values from the calculation:
spin magnetization = 0.93 μB per formula unit
raw total energy = -23.00 eV for the cell shown

abc: 4.4957 4.4957 4.6267
angles: 90.00 90.00 90.00
Space group P4/mmm (No. 123)
Unique sites:
Mg 0.0000 0.0000 0.0000 [1 per cell]
Sc 0.0000 0.5000 0.5000 [2 per cell]
Bi 0.5000 0.5000 0.0000 [1 per cell]
H 0.0000 0.0000 0.5000 [1 per cell]



Entry 12:
Compound: TeSe
Source: Alexandria via LeMat-Bulk
Functional: GGA-PBE
Structure: relaxed

Values from the calculation:
energy relative to the elements, uncorrected = 168 meV per atom
spin magnetization = 0.00 μB per formula unit

abc: 5.7737 5.7737 16.4931
angles: 90.00 90.00 120.00
Space group R-3m (No. 166, hexagonal axes)
Unique sites:
Te 0.0000 0.0000 0.2468 [6 per cell]
Se 0.0000 0.0000 0.1024 [6 per cell]